(1)
A geometry-optimized La2Mg3Ag3 structure. Source: Alexandria via LeMat-Bulk, functional GGA-PBE.

M_tot: 0.000 μB/f.u.
E: -3.0143 eV/atom
energy of formation from the pure elements: -115 meV per atom
space group: P6_3/mcm

```
La2Mg3Ag3
1.0
6.540 0.000 0.000
0.000 7.450 4.301
0.000 0.000 8.602
La Mg Ag
4 6 6
direct
0.000 0.333 0.333
0.500 0.667 0.667
0.000 0.667 0.667
0.500 0.333 0.333
0.750 0.000 0.260
0.750 0.260 0.740
0.750 0.740 0.000
0.250 0.000 0.740
0.250 0.740 0.260
0.250 0.260 0.000
0.750 0.000 0.638
0.750 0.638 0.362
0.750 0.362 0.000
0.250 0.000 0.362
0.250 0.362 0.638
0.250 0.638 0.000
```

(2)
A geometry-optimized LaMg3Ag structure. Source: Alexandria via LeMat-Bulk, functional GGA-PBE.

M_tot: 0.000 μB/f.u.
E: -2.5632 eV/atom
energy of formation from the pure elements: -51 meV per atom
offset from the most stable computed form: 0.107 eV per atom
space group: Imma

```
LaMg3Ag
1.0
6.233 0.000 -3.446
-2.003 6.070 -3.623
-0.069 -0.151 7.235
La Mg Ag
2 6 2
direct
0.250 0.315 0.500
0.750 0.685 0.500
0.717 0.217 0.933
0.217 0.217 0.933
0.783 0.783 0.067
0.283 0.783 0.067
0.250 0.813 0.500
0.750 0.187 0.500
0.000 0.500 0.000
0.500 0.000 0.000
```

(3)
A geometry-optimized LaMgAg4 structure. Source: Alexandria via LeMat-Bulk, functional GGA-PBE.

M_tot: 0.000 μB/f.u.
E: -3.2116 eV/atom
energy of formation from the pure elements: -224 meV per atom
space group: F-43m

```
LaMgAg4
1.0
5.690 0.000 0.000
2.845 4.927 0.000
2.845 1.642 4.646
Ag La Mg
4 1 1
direct
0.122 0.626 0.626
0.626 0.626 0.626
0.626 0.122 0.626
0.626 0.626 0.122
0.250 0.250 0.250
0.000 0.000 0.000
```

(4)
A geometry-optimized La5Mg4Ag4 structure. Source: Alexandria via LeMat-Bulk, functional GGA-PBE.

M_tot: 0.001 μB/f.u.
E: -3.4652 eV/atom
energy of formation from the pure elements: -202 meV per atom
space group: I4/m

```
La5Mg4Ag4
1.0
-2.448 -2.265 3.521
6.165 -3.689 5.253
-0.999 5.994 6.502
La Mg Ag
5 4 4
direct
0.703 0.924 0.670
0.297 0.076 0.330
0.000 0.000 0.000
0.627 0.670 0.076
0.373 0.330 0.924
0.898 0.522 0.683
0.580 0.317 0.522
0.102 0.478 0.317
0.420 0.683 0.478
0.741 0.323 0.195
0.259 0.677 0.805
0.936 0.805 0.323
0.064 0.195 0.677
```

(5)
A geometry-optimized La2MgAg5 structure. Source: Alexandria via LeMat-Bulk, functional GGA-PBE.

M_tot: 0.002 μB/f.u.
E: -3.3892 eV/atom
energy of formation from the pure elements: -176 meV per atom
space group: I4/mmm

```
La2MgAg5
1.0
5.039 0.000 0.000
0.000 5.039 0.000
-2.520 -2.520 7.225
La Mg Ag
2 1 5
direct
0.742 0.742 0.483
0.258 0.258 0.517
0.000 0.000 0.000
0.500 0.500 0.000
0.898 0.398 0.795
0.398 0.898 0.795
0.102 0.602 0.205
0.602 0.102 0.205
```

(6)
A geometry-optimized La3Mg2Ag3 structure. Source: Alexandria via LeMat-Bulk, functional GGA-PBE.

M_tot: 0.000 μB/f.u.
E: -3.5576 eV/atom
energy of formation from the pure elements: -242 meV per atom
space group: P6_3/mcm

```
La3Mg2Ag3
1.0
6.067 0.000 0.000
0.000 7.801 -4.504
0.000 0.000 9.008
La Mg Ag
6 4 6
direct
0.750 0.259 0.000
0.750 0.741 0.741
0.750 0.000 0.259
0.250 0.741 0.000
0.250 0.259 0.259
0.250 0.000 0.741
0.000 0.333 0.667
0.500 0.667 0.333
0.000 0.667 0.333
0.500 0.333 0.667
0.750 0.597 0.000
0.750 0.403 0.403
0.750 0.000 0.597
0.250 0.403 0.000
0.250 0.597 0.597
0.250 0.000 0.403
```

> Number 1 is which compound?

La2Mg3Ag3

> Look up the E of the fifth one.

-3.3892 eV/atom